[1]
Here is a relaxed structure of Dy4GeSbS2 from Alexandria via LeMat-Bulk. Energies are from PBE.

The structure in CIF format:
```
data_Dy4GeSbS2
_chemical_formula_sum 'Dy4 Ge1 Sb1 S2'
_cell_length_a 7.065
_cell_length_b 4.109
_cell_length_c 7.157
_cell_angle_alpha 90.00
_cell_angle_beta 109.54
_cell_angle_gamma 90.00
_symmetry_space_group_name_H-M 'P 1 2/m 1'
_symmetry_Int_Tables_number 10
loop_
_symmetry_equiv_pos_as_xyz
'x,y,z'
'-x,-y,-z'
'-x,y,-z'
'x,-y,z'
loop_
_atom_site_label
_atom_site_fract_x
_atom_site_fract_y
_atom_site_fract_z
_atom_site_occupancy
Dy1 0.238 0.000 0.234 1
Dy2 0.246 0.500 0.759 1
Ge1 0.500 0.000 0.000 1
Sb1 0.500 0.500 0.500 1
S1 0.000 0.000 0.500 1
S2 0.000 0.500 0.000 1
```

---

[2]
Here is a relaxed structure of DyScGeS from Alexandria via LeMat-Bulk. Energies are from PBE.

The structure in CIF format:
```
data_DyScGeS
_chemical_formula_sum 'Dy3 Sc3 Ge3 S3'
_cell_length_a 3.9115
_cell_length_b 3.9115
_cell_length_c 19.4336
_cell_angle_alpha 90.00
_cell_angle_beta 90.00
_cell_angle_gamma 120.00
_symmetry_space_group_name_H-M 'R 3 m'
_symmetry_Int_Tables_number 160
_symmetry_space_group_name_Hall 'R 3 -2"'
loop_
_atom_site_label
_atom_site_fract_x
_atom_site_fract_y
_atom_site_fract_z
_atom_site_occupancy
Dy1 0.0000 0.0000 0.0000 1
Sc1 0.0000 0.0000 0.5008 1
Ge1 0.0000 0.0000 0.7557 1
S1 0.0000 0.0000 0.2464 1
```

---

[3]
Here is a relaxed structure of Dy8Ge4Se3S from Alexandria via LeMat-Bulk. Energies are from PBE.

The structure in CIF format:
```
data_Dy8Ge4Se3S
_chemical_formula_sum 'Dy24 Ge12 Se9 S3'
_cell_length_a 8.2177
_cell_length_b 8.2177
_cell_length_c 20.2323
_cell_angle_alpha 90.00
_cell_angle_beta 90.00
_cell_angle_gamma 120.00
_symmetry_space_group_name_H-M 'R -3 m'
_symmetry_Int_Tables_number 166
_symmetry_space_group_name_Hall '-R 3 2"'
loop_
_atom_site_label
_atom_site_fract_x
_atom_site_fract_y
_atom_site_fract_z
_atom_site_occupancy
Dy1 0.0000 0.0000 0.2459 1
Dy2 0.0039 0.5020 0.7531 1
Ge1 0.0000 0.0000 0.5000 1
Ge2 0.0000 0.5000 0.5000 1
Se1 0.0000 0.5000 0.0000 1
S1 0.0000 0.0000 0.0000 1
```

---

[4]
Here is a relaxed structure of Dy8GeSe4S3 from Alexandria via LeMat-Bulk. Energies are from PBE.

The structure in CIF format:
```
data_Dy8GeSe4S3
_chemical_formula_sum 'Dy24 Ge3 Se12 S9'
_cell_length_a 8.0023
_cell_length_b 8.0023
_cell_length_c 20.0252
_cell_angle_alpha 90.00
_cell_angle_beta 90.00
_cell_angle_gamma 120.00
_symmetry_space_group_name_H-M 'R -3 m'
_symmetry_Int_Tables_number 166
_symmetry_space_group_name_Hall '-R 3 2"'
loop_
_atom_site_label
_atom_site_fract_x
_atom_site_fract_y
_atom_site_fract_z
_atom_site_occupancy
Dy1 0.0000 0.0000 0.2413 1
Dy2 0.0023 0.5011 0.7568 1
Ge1 0.0000 0.0000 0.5000 1
Se1 0.0000 0.0000 0.0000 1
Se2 0.0000 0.5000 0.0000 1
S1 0.0000 0.5000 0.5000 1
```

---

[5]
Here is a relaxed structure of Dy6GeSe2S3 from Alexandria via LeMat-Bulk. Energies are from PBE.

The structure in CIF format:
```
data_Dy6GeSe2S3
_chemical_formula_sum 'Dy12 Ge2 Se4 S6'
_cell_length_a 6.952
_cell_length_b 12.027
_cell_length_c 6.943
_cell_angle_alpha 90.00
_cell_angle_beta 109.46
_cell_angle_gamma 90.00
_symmetry_space_group_name_H-M 'C 1 2/m 1'
_symmetry_Int_Tables_number 12
loop_
_symmetry_equiv_pos_as_xyz
'x,y,z'
'-x,-y,-z'
'-x,y,-z'
'x,-y,z'
'x+1/2,y+1/2,z'
'-x+1/2,-y+1/2,-z'
'-x+1/2,y+1/2,-z'
'x+1/2,-y+1/2,z'
loop_
_atom_site_label
_atom_site_fract_x
_atom_site_fract_y
_atom_site_fract_z
_atom_site_occupancy
Dy1 0.236 0.000 0.238 1
Dy2 0.249 0.162 0.763 1
Ge1 0.000 0.000 0.500 1
Se1 0.000 0.333 0.500 1
S1 0.000 0.169 0.000 1
S2 0.000 0.500 0.000 1
```

---

[6]
Here is a relaxed structure of Dy6Ge3SeS2 from Alexandria via LeMat-Bulk. Energies are from PBE.

The structure in CIF format:
```
data_Dy6Ge3SeS2
_chemical_formula_sum 'Dy12 Ge6 Se2 S4'
_cell_length_a 17.776
_cell_length_b 4.078
_cell_length_c 8.164
_cell_angle_alpha 90.00
_cell_angle_beta 103.66
_cell_angle_gamma 90.00
_symmetry_space_group_name_H-M 'C 1 2/m 1'
_symmetry_Int_Tables_number 12
loop_
_symmetry_equiv_pos_as_xyz
'x,y,z'
'-x,-y,-z'
'-x,y,-z'
'x,-y,z'
'x+1/2,y+1/2,z'
'-x+1/2,-y+1/2,-z'
'-x+1/2,y+1/2,-z'
'x+1/2,-y+1/2,z'
loop_
_atom_site_label
_atom_site_fract_x
_atom_site_fract_y
_atom_site_fract_z
_atom_site_occupancy
Dy1 0.001 0.000 0.258 1
Dy2 0.167 0.500 0.584 1
Dy3 0.170 0.500 0.083 1
Ge1 0.000 0.500 0.500 1
Ge2 0.166 0.000 0.832 1
Se1 0.000 0.500 0.000 1
S1 0.167 0.000 0.334 1
```

---

[7]
Here is a relaxed structure of Dy6Ge2SeS3 from Alexandria via LeMat-Bulk. Energies are from PBE.

The structure in CIF format:
```
data_Dy6Ge2SeS3
_chemical_formula_sum 'Dy12 Ge4 Se2 S6'
_cell_length_a 17.521
_cell_length_b 4.039
_cell_length_c 8.058
_cell_angle_alpha 90.00
_cell_angle_beta 102.67
_cell_angle_gamma 90.00
_symmetry_space_group_name_H-M 'C 1 2/m 1'
_symmetry_Int_Tables_number 12
loop_
_symmetry_equiv_pos_as_xyz
'x,y,z'
'-x,-y,-z'
'-x,y,-z'
'x,-y,z'
'x+1/2,y+1/2,z'
'-x+1/2,-y+1/2,-z'
'-x+1/2,y+1/2,-z'
'x+1/2,-y+1/2,z'
loop_
_atom_site_label
_atom_site_fract_x
_atom_site_fract_y
_atom_site_fract_z
_atom_site_occupancy
Dy1 0.002 0.000 0.262 1
Dy2 0.167 0.500 0.583 1
Dy3 0.170 0.500 0.089 1
Ge1 0.166 0.000 0.332 1
Se1 0.000 0.500 0.000 1
S1 0.000 0.500 0.500 1
S2 0.164 0.000 0.835 1
```

---

[8]
Here is a relaxed structure of Dy3GeSeS from Alexandria via LeMat-Bulk. Energies are from PBE.

The structure in CIF format:
```
data_Dy3GeSeS
_chemical_formula_sum 'Dy6 Ge2 Se2 S2'
_cell_length_a 8.161
_cell_length_b 4.121
_cell_length_c 11.950
_cell_angle_alpha 90.00
_cell_angle_beta 108.59
_cell_angle_gamma 90.00
_symmetry_space_group_name_H-M 'P 1 21/m 1'
_symmetry_Int_Tables_number 11
loop_
_symmetry_equiv_pos_as_xyz
'x,y,z'
'-x,-y,-z'
'-x,y+1/2,-z'
'x,-y+1/2,z'
loop_
_atom_site_label
_atom_site_fract_x
_atom_site_fract_y
_atom_site_fract_z
_atom_site_occupancy
Dy1 0.065 0.250 0.370 1
Dy2 0.128 0.750 0.122 1
Dy3 0.430 0.750 0.612 1
Ge1 0.312 0.750 0.360 1
Se1 0.189 0.250 0.630 1
S1 0.077 0.750 0.884 1
```

---

[9]
Here is a relaxed structure of Dy8GeSe3S4 from Alexandria via LeMat-Bulk. Energies are from PBE.

The structure in CIF format:
```
data_Dy8GeSe3S4
_chemical_formula_sum 'Dy24 Ge3 Se9 S12'
_cell_length_a 8.0005
_cell_length_b 8.0005
_cell_length_c 19.6843
_cell_angle_alpha 90.00
_cell_angle_beta 90.00
_cell_angle_gamma 120.00
_symmetry_space_group_name_H-M 'R -3 m'
_symmetry_Int_Tables_number 166
_symmetry_space_group_name_Hall '-R 3 2"'
loop_
_atom_site_label
_atom_site_fract_x
_atom_site_fract_y
_atom_site_fract_z
_atom_site_occupancy
Dy1 0.0000 0.0000 0.2417 1
Dy2 0.0100 0.5050 0.7545 1
Ge1 0.0000 0.0000 0.0000 1
Se1 0.0000 0.5000 0.0000 1
S1 0.0000 0.0000 0.5000 1
S2 0.0000 0.5000 0.5000 1
```

---

[10]
Here is a relaxed structure of Dy6GeSe3S2 from Alexandria via LeMat-Bulk. Energies are from PBE.

The structure in CIF format:
```
data_Dy6GeSe3S2
_chemical_formula_sum 'Dy12 Ge2 Se6 S4'
_cell_length_a 6.951
_cell_length_b 12.030
_cell_length_c 7.089
_cell_angle_alpha 90.00
_cell_angle_beta 109.04
_cell_angle_gamma 90.00
_symmetry_space_group_name_H-M 'C 1 2/m 1'
_symmetry_Int_Tables_number 12
loop_
_symmetry_equiv_pos_as_xyz
'x,y,z'
'-x,-y,-z'
'-x,y,-z'
'x,-y,z'
'x+1/2,y+1/2,z'
'-x+1/2,-y+1/2,-z'
'-x+1/2,y+1/2,-z'
'x+1/2,-y+1/2,z'
loop_
_atom_site_label
_atom_site_fract_x
_atom_site_fract_y
_atom_site_fract_z
_atom_site_occupancy
Dy1 0.242 0.000 0.231 1
Dy2 0.244 0.332 0.231 1
Ge1 0.000 0.500 0.000 1
Se1 0.000 0.000 0.500 1
Se2 0.000 0.334 0.500 1
S1 0.000 0.167 0.000 1
```

---

[11]
Here is a relaxed structure of Dy6Ge3Se2S from Alexandria via LeMat-Bulk. Energies are from PBE.

The structure in CIF format:
```
data_Dy6Ge3Se2S
_chemical_formula_sum 'Dy12 Ge6 Se4 S2'
_cell_length_a 17.911
_cell_length_b 4.105
_cell_length_c 8.227
_cell_angle_alpha 90.00
_cell_angle_beta 103.72
_cell_angle_gamma 90.00
_symmetry_space_group_name_H-M 'C 1 2/m 1'
_symmetry_Int_Tables_number 12
loop_
_symmetry_equiv_pos_as_xyz
'x,y,z'
'-x,-y,-z'
'-x,y,-z'
'x,-y,z'
'x+1/2,y+1/2,z'
'-x+1/2,-y+1/2,-z'
'-x+1/2,y+1/2,-z'
'x+1/2,-y+1/2,z'
loop_
_atom_site_label
_atom_site_fract_x
_atom_site_fract_y
_atom_site_fract_z
_atom_site_occupancy
Dy1 0.003 0.000 0.250 1
Dy2 0.164 0.500 0.090 1
Dy3 0.166 0.500 0.575 1
Ge1 0.000 0.500 0.000 1
Ge2 0.168 0.000 0.335 1
Se1 0.166 0.000 0.833 1
S1 0.000 0.500 0.500 1
```

---

[12]
Here is a relaxed structure of Dy6Si2GeS3 from Alexandria via LeMat-Bulk. Energies are from PBE.

The structure in CIF format:
```
data_Dy6Si2GeS3
_chemical_formula_sum 'Dy12 Si4 Ge2 S6'
_cell_length_a 17.622
_cell_length_b 4.032
_cell_length_c 8.091
_cell_angle_alpha 90.00
_cell_angle_beta 103.99
_cell_angle_gamma 90.00
_symmetry_space_group_name_H-M 'C 1 2/m 1'
_symmetry_Int_Tables_number 12
loop_
_symmetry_equiv_pos_as_xyz
'x,y,z'
'-x,-y,-z'
'-x,y,-z'
'x,-y,z'
'x+1/2,y+1/2,z'
'-x+1/2,-y+1/2,-z'
'-x+1/2,y+1/2,-z'
'x+1/2,-y+1/2,z'
loop_
_atom_site_label
_atom_site_fract_x
_atom_site_fract_y
_atom_site_fract_z
_atom_site_occupancy
Dy1 0.000 0.000 0.249 1
Dy2 0.167 0.500 0.082 1
Dy3 0.167 0.500 0.585 1
Si1 0.167 0.000 0.833 1
Ge1 0.000 0.500 0.500 1
S1 0.000 0.500 0.000 1
S2 0.167 0.000 0.333 1
```

---

[13]
Here is a relaxed structure of Dy4SiGeS2 from Alexandria via LeMat-Bulk. Energies are from PBE.

The structure in CIF format:
```
data_Dy4SiGeS2
_chemical_formula_sum 'Dy8 Si2 Ge2 S4'
_cell_length_a 5.699
_cell_length_b 5.699
_cell_length_c 11.428
_cell_angle_alpha 90.00
_cell_angle_beta 90.00
_cell_angle_gamma 90.00
_symmetry_space_group_name_H-M 'I -4 m 2'
_symmetry_Int_Tables_number 119
_symmetry_space_group_name_Hall 'I -4 -2'
loop_
_atom_site_label
_atom_site_fract_x
_atom_site_fract_y
_atom_site_fract_z
_atom_site_occupancy
Dy1 0.000 0.000 0.248 1
Dy2 0.000 0.500 0.001 1
Si1 0.000 0.500 0.750 1
Ge1 0.000 0.000 0.500 1
S1 0.000 0.000 0.000 1
S2 0.000 0.500 0.250 1
```

---

[14]
Here is a relaxed structure of SmDyGeS from Alexandria via LeMat-Bulk. Energies are from PBE.

The structure in CIF format:
```
data_SmDyGeS
_chemical_formula_sum 'Sm3 Dy3 Ge3 S3'
_cell_length_a 4.0873
_cell_length_b 4.0873
_cell_length_c 20.1438
_cell_angle_alpha 90.00
_cell_angle_beta 90.00
_cell_angle_gamma 120.00
_symmetry_space_group_name_H-M 'R 3 m'
_symmetry_Int_Tables_number 160
_symmetry_space_group_name_Hall 'R 3 -2"'
loop_
_atom_site_label
_atom_site_fract_x
_atom_site_fract_y
_atom_site_fract_z
_atom_site_occupancy
Sm1 0.0000 0.0000 0.0000 1
Dy1 0.0000 0.0000 0.4996 1
Ge1 0.0000 0.0000 0.2480 1
S1 0.0000 0.0000 0.7521 1
```

---

[15]
Here is a relaxed structure of Dy6SnGe2S3 from Alexandria via LeMat-Bulk. Energies are from PBE.

The structure in CIF format:
```
data_Dy6SnGe2S3
_chemical_formula_sum 'Dy12 Sn2 Ge4 S6'
_cell_length_a 17.855
_cell_length_b 4.056
_cell_length_c 8.237
_cell_angle_alpha 90.00
_cell_angle_beta 103.83
_cell_angle_gamma 90.00
_symmetry_space_group_name_H-M 'C 1 2/m 1'
_symmetry_Int_Tables_number 12
loop_
_symmetry_equiv_pos_as_xyz
'x,y,z'
'-x,-y,-z'
'-x,y,-z'
'x,-y,z'
'x+1/2,y+1/2,z'
'-x+1/2,-y+1/2,-z'
'-x+1/2,y+1/2,-z'
'x+1/2,-y+1/2,z'
loop_
_atom_site_label
_atom_site_fract_x
_atom_site_fract_y
_atom_site_fract_z
_atom_site_occupancy
Dy1 0.001 0.000 0.233 1
Dy2 0.169 0.500 0.081 1
Dy3 0.173 0.500 0.588 1
Sn1 0.000 0.500 0.500 1
Ge1 0.166 0.000 0.832 1
S1 0.000 0.500 0.000 1
S2 0.167 0.000 0.331 1
```

---

[16]
Here is a relaxed structure of TbDyGeS from Alexandria via LeMat-Bulk. Energies are from PBE.

The structure in CIF format:
```
data_TbDyGeS
_chemical_formula_sum 'Tb3 Dy3 Ge3 S3'
_cell_length_a 4.0488
_cell_length_b 4.0488
_cell_length_c 19.9538
_cell_angle_alpha 90.00
_cell_angle_beta 90.00
_cell_angle_gamma 120.00
_symmetry_space_group_name_H-M 'R 3 m'
_symmetry_Int_Tables_number 160
_symmetry_space_group_name_Hall 'R 3 -2"'
loop_
_atom_site_label
_atom_site_fract_x
_atom_site_fract_y
_atom_site_fract_z
_atom_site_occupancy
Tb1 0.0000 0.0000 0.0000 1
Dy1 0.0000 0.0000 0.4999 1
Ge1 0.0000 0.0000 0.2496 1
S1 0.0000 0.0000 0.7504 1
```

---

[17]
Here is a relaxed structure of Dy8Ge3Te3S from Alexandria via LeMat-Bulk. Energies are from PBE.

The structure in CIF format:
```
data_Dy8Ge3Te3S
_chemical_formula_sum 'Dy24 Ge9 Te9 S3'
_cell_length_a 8.3472
_cell_length_b 8.3472
_cell_length_c 20.8821
_cell_angle_alpha 90.00
_cell_angle_beta 90.00
_cell_angle_gamma 120.00
_symmetry_space_group_name_H-M 'R -3 m'
_symmetry_Int_Tables_number 166
_symmetry_space_group_name_Hall '-R 3 2"'
loop_
_atom_site_label
_atom_site_fract_x
_atom_site_fract_y
_atom_site_fract_z
_atom_site_occupancy
Dy1 0.0000 0.0000 0.2405 1
Dy2 0.0053 0.5026 0.7592 1
Ge1 0.0000 0.5000 0.5000 1
Te1 0.0000 0.5000 0.0000 1
S1 0.0000 0.0000 0.5000 1
```

---

[18]
Here is a relaxed structure of Dy3GeTeS from Alexandria via LeMat-Bulk. Energies are from PBE.

The structure in CIF format:
```
data_Dy3GeTeS
_chemical_formula_sum 'Dy6 Ge2 Te2 S2'
_cell_length_a 8.444
_cell_length_b 4.342
_cell_length_c 9.542
_cell_angle_alpha 90.00
_cell_angle_beta 99.41
_cell_angle_gamma 90.00
_symmetry_space_group_name_H-M 'P 1 21/m 1'
_symmetry_Int_Tables_number 11
loop_
_symmetry_equiv_pos_as_xyz
'x,y,z'
'-x,-y,-z'
'-x,y+1/2,-z'
'x,-y+1/2,z'
loop_
_atom_site_label
_atom_site_fract_x
_atom_site_fract_y
_atom_site_fract_z
_atom_site_occupancy
Dy1 0.075 0.250 0.354 1
Dy2 0.263 0.250 0.967 1
Dy3 0.380 0.750 0.636 1
Ge1 0.156 0.250 0.656 1
Te1 0.331 0.750 0.298 1
S1 0.410 0.750 0.910 1
```

---

[19]
Here is a relaxed structure of Dy8GeTe3S3 from Alexandria via LeMat-Bulk. Energies are from PBE.

The structure in CIF format:
```
data_Dy8GeTe3S3
_chemical_formula_sum 'Dy24 Ge3 Te9 S9'
_cell_length_a 8.1072
_cell_length_b 8.1072
_cell_length_c 20.8433
_cell_angle_alpha 90.00
_cell_angle_beta 90.00
_cell_angle_gamma 120.00
_symmetry_space_group_name_H-M 'R -3 m'
_symmetry_Int_Tables_number 166
_symmetry_space_group_name_Hall '-R 3 2"'
loop_
_atom_site_label
_atom_site_fract_x
_atom_site_fract_y
_atom_site_fract_z
_atom_site_occupancy
Dy1 0.0000 0.0000 0.2342 1
Dy2 0.0090 0.5045 0.7609 1
Ge1 0.0000 0.0000 0.5000 1
Te1 0.0000 0.5000 0.0000 1
S1 0.0000 0.5000 0.5000 1
```

---

[20]
Here is a relaxed structure of Dy4GeTeS2 from Alexandria via LeMat-Bulk. Energies are from PBE.

The structure in CIF format:
```
data_Dy4GeTeS2
_chemical_formula_sum 'Dy4 Ge1 Te1 S2'
_cell_length_a 7.027
_cell_length_b 4.080
_cell_length_c 7.183
_cell_angle_alpha 90.00
_cell_angle_beta 109.35
_cell_angle_gamma 90.00
_symmetry_space_group_name_H-M 'P 1 2/m 1'
_symmetry_Int_Tables_number 10
loop_
_symmetry_equiv_pos_as_xyz
'x,y,z'
'-x,-y,-z'
'-x,y,-z'
'x,-y,z'
loop_
_atom_site_label
_atom_site_fract_x
_atom_site_fract_y
_atom_site_fract_z
_atom_site_occupancy
Dy1 0.228 0.000 0.221 1
Dy2 0.243 0.500 0.764 1
Ge1 0.500 0.000 0.000 1
Te1 0.500 0.500 0.500 1
S1 0.000 0.000 0.500 1
S2 0.000 0.500 0.000 1
```

---

In the order shown, the computed E_form (uncorrected) values come out to -1149, -533, -2161, -2748, -2054, -1654, -1889, -776, -2779, -2022, -1628, -1620, -1120, -560, -1606, -562, -1684, -672, -2093, -1206 kJ/mol of formula units.